Entry 1:
Entry from Alexandria: a crystal of Sc5In4Ni2 relaxed with PBEsol (meta-GGA SCAN).

Structure (extended XYZ):
```
22
Lattice="7.495 0.000 0.000 0.000 17.005 0.000 0.000 0.000 3.316" Properties=species:S:1:pos:R:3 pbc="T T T"
Sc 0.000 0.000 0.000
Sc 0.928 7.025 0.000
Sc 1.848 12.261 0.000
Sc 1.900 3.759 0.000
Sc 2.820 15.527 0.000
Sc 3.747 8.502 0.000
Sc 4.675 1.478 0.000
Sc 5.595 13.246 0.000
Sc 5.647 4.744 0.000
Sc 6.567 9.980 0.000
In 0.530 14.424 1.658
In 1.509 9.655 1.658
In 2.239 1.152 1.658
In 3.218 5.921 1.658
In 4.277 11.083 1.658
In 5.256 15.853 1.658
In 5.986 7.350 1.658
In 6.965 2.581 1.658
Ni 0.290 5.188 1.658
Ni 3.458 13.691 1.658
Ni 4.037 3.314 1.658
Ni 7.205 11.817 1.658
```

Values from the calculation:
E: -22.207 eV per atom
SG: Pbam (55)
Crystal system: orthorhombic
Energy of formation from the pure elements: -0.65 eV per atom

=====

Entry 2:
Entry from Alexandria: a crystal of ZnB3Pb relaxed with PBEsol (meta-GGA SCAN).

Structure (extended XYZ):
```
5
Lattice="4.608 0.000 0.000 0.000 4.608 0.000 0.000 0.000 4.608" Properties=species:S:1:pos:R:3 pbc="T T T"
Zn 0.000 0.000 0.000
B 0.000 2.304 2.304
B 2.304 0.000 2.304
B 2.304 2.304 0.000
Pb 2.304 2.304 2.304
```

Values from the calculation:
E: -19.679 eV per atom
SG: Pm-3m (221)
Crystal system: cubic
Energy of formation from the pure elements: 2.64 eV per atom

=====

Entry 3:
Entry from Alexandria: a crystal of ScSiN2 relaxed with PBEsol (meta-GGA SCAN).

Structure (extended XYZ):
```
4
Lattice="1.472 0.850 5.929 -1.472 0.850 5.929 0.000 -1.699 5.929" Properties=species:S:1:pos:R:3 pbc="T T T"
Sc 0.000 0.000 0.000
Si 0.000 0.000 8.893
N 0.000 0.000 2.040
N 0.000 0.000 15.746
```

Values from the calculation:
E: -11.178 eV per atom
SG: R-3m (166)
Crystal system: trigonal
Energy relative to the elements, uncorrected: -0.469 eV per atom

=====

Entry 4:
Entry from Alexandria: a crystal of SbCl relaxed with PBEsol (meta-GGA SCAN).

Structure (extended XYZ):
```
4
Lattice="3.316 0.000 0.000 0.000 5.560 0.000 0.000 0.000 5.297" Properties=species:S:1:pos:R:3 pbc="T T T"
Sb 0.829 1.390 0.006
Sb 2.487 4.170 5.291
Cl 0.829 4.170 3.143
Cl 2.487 1.390 2.155
```

Values from the calculation:
E: -22.819 eV per atom
SG: Pmmn (59)
Crystal system: orthorhombic
Energy relative to the elements, uncorrected: -0.200 eV per atom

=====

Entry 5:
Entry from Alexandria: a crystal of MgTaCr relaxed with PBEsol (meta-GGA SCAN).

Structure (extended XYZ):
```
3
Lattice="-1.593 1.593 4.936 1.593 -1.593 4.936 1.593 1.593 -4.936" Properties=species:S:1:pos:R:3 pbc="T T T"
Mg 0.000 0.000 0.000
Ta 0.000 0.000 6.979
Cr 0.000 0.000 3.129
```

Values from the calculation:
E: -29.664 eV per atom
SG: I4mm (107)
Crystal system: tetragonal
Energy of formation from the pure elements: 0.32 eV per atom

=====

Entry 6:
Entry from Alexandria: a crystal of Ti3BiF relaxed with PBEsol (meta-GGA SCAN).

Structure (extended XYZ):
```
5
Lattice="4.268 0.000 0.000 0.000 4.268 0.000 0.000 0.000 4.268" Properties=species:S:1:pos:R:3 pbc="T T T"
Ti 0.000 0.000 2.134
Ti 0.000 2.134 0.000
Ti 2.134 0.000 0.000
Bi 2.134 2.134 2.134
F 0.000 0.000 0.000
```

Values from the calculation:
E: -26.700 eV per atom
SG: Pm-3m (221)
Crystal system: cubic
Energy relative to the elements, uncorrected: -0.658 eV per atom

=====

Entry 7:
Entry from Alexandria: a crystal of Mg4CuNi relaxed with PBEsol (meta-GGA SCAN).

Structure (extended XYZ):
```
18
Lattice="5.142 0.000 0.000 -2.571 4.453 0.000 0.000 0.000 13.333" Properties=species:S:1:pos:R:3 pbc="T T T"
Mg -1.286 2.227 0.706
Mg -1.286 2.227 3.738
Mg 0.000 1.439 6.666
Mg -1.325 3.734 11.110
Mg 1.246 0.719 2.222
Mg 2.571 0.000 5.150
Mg 2.571 0.000 8.182
Mg 1.286 2.227 9.594
Mg 1.286 2.227 12.626
Mg 1.325 3.734 2.222
Mg 3.897 0.719 11.110
Mg 2.571 3.015 6.666
Cu -1.286 2.227 8.888
Cu 2.571 0.000 0.000
Cu 1.286 2.227 4.444
Ni 0.000 0.000 0.000
Ni 0.000 0.000 4.444
Ni 0.000 0.000 8.888
```

Values from the calculation:
E: -8.729 eV per atom
SG: P6_222 (180)
Crystal system: hexagonal
Energy of formation from the pure elements: -0.18 eV per atom

=====

Entry 8:
Entry from Alexandria: a crystal of MgZnNi6 relaxed with PBEsol (meta-GGA SCAN).

Structure (extended XYZ):
```
32
Lattice="3.545 -5.021 0.000 3.545 5.021 0.000 0.000 0.000 10.043" Properties=species:S:1:pos:R:3 pbc="T T T"
Mg 0.000 0.000 2.501
Mg 0.000 0.000 7.542
Mg 3.545 2.549 5.021
Mg 3.545 -2.549 5.021
Zn 3.545 2.557 0.000
Zn 3.545 0.000 2.495
Zn 3.545 0.000 7.548
Zn 3.545 -2.557 0.000
Ni 0.000 0.000 0.000
Ni 0.000 0.000 5.021
Ni 1.807 1.270 1.234
Ni 1.807 1.270 8.809
Ni 1.809 1.241 3.743
Ni 1.809 1.241 6.300
Ni 3.545 2.487 2.471
Ni 3.545 2.487 7.571
Ni 1.809 -1.241 3.743
Ni 1.809 -1.241 6.300
Ni 1.807 -1.270 1.234
Ni 1.807 -1.270 8.809
Ni 3.545 0.000 0.000
Ni 3.545 0.000 5.021
Ni 5.284 1.270 1.234
Ni 5.284 1.270 8.809
Ni 5.282 1.241 3.743
Ni 5.282 1.241 6.300
Ni 3.545 -2.487 2.471
Ni 3.545 -2.487 7.571
Ni 5.282 -1.241 3.743
Ni 5.282 -1.241 6.300
Ni 5.284 -1.270 1.234
Ni 5.284 -1.270 8.809
```

Values from the calculation:
E: -14.512 eV per atom
SG: Cmmm (65)
Crystal system: orthorhombic
Energy of formation from the pure elements: -0.07 eV per atom

=====

Entry 9:
Entry from Alexandria: a crystal of Sr2MnMo relaxed with PBEsol (meta-GGA SCAN).

Structure (extended XYZ):
```
4
Lattice="0.000 3.648 3.648 3.648 0.000 3.648 3.648 3.648 0.000" Properties=species:S:1:pos:R:3 pbc="T T T"
Sr 0.000 0.000 0.000
Sr 1.824 1.824 1.824
Mn 5.472 5.472 5.472
Mo 3.648 3.648 3.648
```

Values from the calculation:
E: -23.577 eV per atom
SG: F-43m (216)
Crystal system: cubic
Energy of formation from the pure elements: 0.85 eV per atom

=====

Entry 10:
Entry from Alexandria: a crystal of Co3W relaxed with PBEsol (meta-GGA SCAN).

Structure (extended XYZ):
```
4
Lattice="3.548 0.000 0.000 0.000 3.548 0.000 0.000 0.000 3.548" Properties=species:S:1:pos:R:3 pbc="T T T"
Co 0.000 0.000 1.774
Co 0.000 1.774 0.000
Co 1.774 0.000 0.000
W 1.774 1.774 1.774
```

Values from the calculation:
E: -30.268 eV per atom
SG: Pm-3m (221)
Crystal system: cubic
Energy of formation from the pure elements: 0.13 eV per atom

=====

Entry 11:
Entry from Alexandria: a crystal of ZrCo4Ir relaxed with PBEsol (meta-GGA SCAN).

Structure (extended XYZ):
```
6
Lattice="0.000 3.340 3.340 3.340 0.000 3.340 3.340 3.340 0.000" Properties=species:S:1:pos:R:3 pbc="T T T"
Zr 0.000 0.000 0.000
Co 2.512 2.512 2.512
Co 4.169 4.169 2.512
Co 4.169 2.512 4.169
Co 2.512 4.169 4.169
Ir 5.011 5.011 5.011
```

Values from the calculation:
E: -28.774 eV per atom
SG: F-43m (216)
Crystal system: cubic
Energy of formation from the pure elements: -0.27 eV per atom

=====

Entry 12:
Entry from Alexandria: a crystal of LaMg2 relaxed with PBEsol (meta-GGA SCAN).

Structure (extended XYZ):
```
6
Lattice="2.462 -6.497 0.000 2.462 6.497 0.000 0.000 0.000 5.040" Properties=species:S:1:pos:R:3 pbc="T T T"
La 2.462 5.417 3.780
La 2.462 -5.417 1.260
Mg 2.462 3.330 1.260
Mg 2.462 1.307 3.780
Mg 2.462 -1.307 1.260
Mg 2.462 -3.330 3.780
```

Values from the calculation:
E: -17.775 eV per atom
SG: Cmcm (63)
Crystal system: orthorhombic
Energy of formation from the pure elements: -0.09 eV per atom

=====

Entry 13:
Entry from Alexandria: a crystal of TlTePtN2 relaxed with PBEsol (meta-GGA SCAN).

Structure (extended XYZ):
```
5
Lattice="4.088 0.000 0.000 0.000 4.088 0.000 0.000 0.000 6.349" Properties=species:S:1:pos:R:3 pbc="T T T"
Tl 0.000 0.000 0.000
Te 0.000 0.000 3.175
Pt 2.044 2.044 3.175
N 0.000 2.044 0.000
N 2.044 0.000 0.000
```

Values from the calculation:
E: -37.754 eV per atom
SG: P4/mmm (123)
Crystal system: tetragonal
Energy relative to the elements, uncorrected: 1.923 eV per atom

=====

Entry 14:
Entry from Alexandria: a crystal of LaCoBr relaxed with PBEsol (meta-GGA SCAN).

Structure (extended XYZ):
```
3
Lattice="0.000 3.342 3.342 3.342 0.000 3.342 3.342 3.342 0.000" Properties=species:S:1:pos:R:3 pbc="T T T"
La 0.000 0.000 0.000
Co 3.342 3.342 3.342
Br 1.671 1.671 1.671
```

Values from the calculation:
E: -26.531 eV per atom
SG: F-43m (216)
Crystal system: cubic
Energy relative to the elements, uncorrected: 0.092 eV per atom

=====

Entry 15:
Entry from Alexandria: a crystal of K2ScRh relaxed with PBEsol (meta-GGA SCAN).

Structure (extended XYZ):
```
4
Lattice="0.000 3.747 3.747 3.747 0.000 3.747 3.747 3.747 0.000" Properties=species:S:1:pos:R:3 pbc="T T T"
K 1.873 1.873 1.873
K 5.620 5.620 5.620
Sc 0.000 0.000 0.000
Rh 3.747 3.747 3.747
```

Values from the calculation:
E: -15.103 eV per atom
SG: Fm-3m (225)
Crystal system: cubic
Energy of formation from the pure elements: 1.06 eV per atom

=====

Entry 16:
Entry from Alexandria: a crystal of Mg2InIr relaxed with PBEsol (meta-GGA SCAN).

Structure (extended XYZ):
```
4
Lattice="0.000 3.256 3.256 3.256 0.000 3.256 3.256 3.256 0.000" Properties=species:S:1:pos:R:3 pbc="T T T"
Mg 0.000 0.000 0.000
Mg 1.628 1.628 1.628
In 4.884 4.884 4.884
Ir 3.256 3.256 3.256
```

Values from the calculation:
E: -28.964 eV per atom
SG: F-43m (216)
Crystal system: cubic
Energy of formation from the pure elements: -0.36 eV per atom

=====

Entry 17:
Entry from Alexandria: a crystal of Y5Ga3 relaxed with PBEsol (meta-GGA SCAN).

Structure (extended XYZ):
```
16
Lattice="8.495 0.000 0.000 -4.248 7.357 0.000 0.000 0.000 6.459" Properties=species:S:1:pos:R:3 pbc="T T T"
Y -1.039 1.799 1.615
Y -3.209 5.558 4.844
Y 2.077 0.000 1.615
Y 1.039 1.799 4.844
Y 0.000 4.905 0.000
Y 0.000 4.905 3.230
Y 4.248 2.452 0.000
Y 4.248 2.452 3.230
Y 6.418 0.000 4.844
Y 3.209 5.558 1.615
Ga -1.702 2.948 4.844
Ga -2.545 4.409 1.615
Ga 3.404 0.000 4.844
Ga 1.702 2.948 1.615
Ga 5.091 0.000 1.615
Ga 2.545 4.409 4.844
```

Values from the calculation:
E: -24.129 eV per atom
SG: P6_3/mcm (193)
Crystal system: hexagonal
Energy of formation from the pure elements: -0.60 eV per atom

=====

Entry 18:
Entry from Alexandria: a crystal of Ba3ScB relaxed with PBEsol (meta-GGA SCAN).

Structure (extended XYZ):
```
5
Lattice="5.865 0.000 0.000 0.000 5.865 0.000 0.000 0.000 5.865" Properties=species:S:1:pos:R:3 pbc="T T T"
Ba 0.000 0.000 2.933
Ba 0.000 2.933 0.000
Ba 2.933 0.000 0.000
Sc 2.933 2.933 2.933
B 0.000 0.000 0.000
```

Values from the calculation:
E: -27.375 eV per atom
SG: Pm-3m (221)
Crystal system: cubic
Energy of formation from the pure elements: 0.69 eV per atom

=====

Entry 19:
Entry from Alexandria: a crystal of MgSc4Co relaxed with PBEsol (meta-GGA SCAN).

Structure (extended XYZ):
```
6
Lattice="0.000 3.988 3.988 3.988 0.000 3.988 3.988 3.988 0.000" Properties=species:S:1:pos:R:3 pbc="T T T"
Mg 0.000 0.000 0.000
Sc 3.001 3.001 3.001
Sc 4.976 4.976 3.001
Sc 4.976 3.001 4.976
Sc 3.001 4.976 4.976
Co 5.983 5.983 5.983
```

Values from the calculation:
E: -12.676 eV per atom
SG: F-43m (216)
Crystal system: cubic
Energy of formation from the pure elements: 0.53 eV per atom

=====

Entry 20:
Entry from Alexandria: a crystal of Zn2CrRh relaxed with PBEsol (meta-GGA SCAN).

Structure (extended XYZ):
```
4
Lattice="2.943 0.000 0.000 0.000 4.236 0.000 0.000 0.000 4.280" Properties=species:S:1:pos:R:3 pbc="T T T"
Zn 0.000 0.000 0.000
Zn 1.471 0.000 2.140
Cr 0.000 2.118 2.140
Rh 1.471 2.118 0.000
```

Values from the calculation:
E: -19.931 eV per atom
SG: Pmmm (47)
Crystal system: orthorhombic
Energy of formation from the pure elements: -0.13 eV per atom

=====

Entry 21:
Entry from Alexandria: a crystal of Cu3Au2 relaxed with PBEsol (meta-GGA SCAN).

Structure (extended XYZ):
```
5
Lattice="4.533 -1.374 0.000 4.533 1.374 0.000 -3.793 0.000 5.485" Properties=species:S:1:pos:R:3 pbc="T T T"
Cu 0.000 0.000 0.000
Cu 1.243 0.000 3.366
Cu 4.030 0.000 2.119
Au -1.225 0.000 4.268
Au 6.498 0.000 1.217
```

Values from the calculation:
E: -36.826 eV per atom
SG: C2/m (12)
Crystal system: monoclinic
Energy of formation from the pure elements: -0.04 eV per atom

=====

Entry 22:
Entry from Alexandria: a crystal of CsCa2ReF relaxed with PBEsol (meta-GGA SCAN).

Structure (extended XYZ):
```
5
Lattice="4.749 0.000 0.000 0.000 4.749 0.000 0.000 0.000 5.373" Properties=species:S:1:pos:R:3 pbc="T T T"
Cs 0.000 0.000 0.000
Ca 0.000 2.374 2.686
Ca 2.374 0.000 2.686
Re 2.374 2.374 0.000
F 0.000 0.000 2.686
```

Values from the calculation:
E: -26.450 eV per atom
SG: P4/mmm (123)
Crystal system: tetragonal
Energy relative to the elements, uncorrected: -0.095 eV per atom

=====

Entry 23:
Entry from Alexandria: a crystal of KSeCl2 relaxed with PBEsol (meta-GGA SCAN).

Structure (extended XYZ):
```
4
Lattice="3.794 -2.791 0.000 3.794 2.791 0.000 -2.307 0.000 4.861" Properties=species:S:1:pos:R:3 pbc="T T T"
K 0.000 0.000 0.000
Se 2.640 0.000 2.431
Cl 0.483 0.000 3.419
Cl 4.798 0.000 1.442
```

Values from the calculation:
E: -12.050 eV per atom
SG: C2/m (12)
Crystal system: monoclinic
Energy relative to the elements, uncorrected: -0.959 eV per atom

=====

Entry 24:
Entry from Alexandria: a crystal of Mg2ScCu relaxed with PBEsol (meta-GGA SCAN).

Structure (extended XYZ):
```
4
Lattice="3.169 0.000 0.000 0.000 3.169 0.000 0.000 0.000 7.612" Properties=species:S:1:pos:R:3 pbc="T T T"
Mg 0.000 0.000 0.000
Mg 1.584 1.584 2.198
Sc 1.584 1.584 5.312
Cu 0.000 0.000 3.746
```

Values from the calculation:
E: -9.997 eV per atom
SG: P4mm (99)
Crystal system: tetragonal
Energy of formation from the pure elements: -0.15 eV per atom

=====

Entry 25:
Entry from Alexandria: a crystal of PAuN3 relaxed with PBEsol (meta-GGA SCAN).

Structure (extended XYZ):
```
5
Lattice="3.974 0.000 0.000 0.000 3.974 0.000 0.000 0.000 3.974" Properties=species:S:1:pos:R:3 pbc="T T T"
P 0.000 0.000 0.000
Au 1.987 1.987 1.987
N 0.000 1.987 1.987
N 1.987 0.000 1.987
N 1.987 1.987 0.000
```

Values from the calculation:
E: -18.887 eV per atom
SG: Pm-3m (221)
Crystal system: cubic
Energy relative to the elements, uncorrected: 2.599 eV per atom